1.
# AgAs3 (PBE, relaxed)
data_AgAs3
_symmetry_space_group_name_H-M 'C m m m'
_symmetry_Int_Tables_number 65
_symmetry_space_group_name_Hall '-C 2 2'
_cell_length_a 3.402
_cell_length_b 4.589
_cell_length_c 9.773
_cell_angle_alpha 90.00
_cell_angle_beta 90.00
_cell_angle_gamma 90.00
loop_
_atom_site_label
_atom_site_fract_x
_atom_site_fract_y
_atom_site_fract_z
Ag1 0.000 0.000 0.000
As1 0.000 0.000 0.500
As2 0.000 0.500 0.243
# - Raw total energy: -3.84 eV per atom
# - DFT formation energy: 0.360 eV/atom
# - Size of the total moment: 0.00 μB per formula unit

***

2.
# Ag5As (PBE, relaxed)
data_Ag5As
_symmetry_space_group_name_H-M 'P 6/m m m'
_symmetry_Int_Tables_number 191
_symmetry_space_group_name_Hall '-P 6 2'
_cell_length_a 5.4370
_cell_length_b 5.4370
_cell_length_c 4.7724
_cell_angle_alpha 90.00
_cell_angle_beta 90.00
_cell_angle_gamma 120.00
loop_
_atom_site_label
_atom_site_fract_x
_atom_site_fract_y
_atom_site_fract_z
Ag1 0.0000 0.5000 0.0000
Ag2 0.3333 0.6667 0.5000
As1 0.0000 0.0000 0.5000
# - Raw total energy: -2.83 eV per atom
# - DFT formation energy: 0.320 eV/atom
# - Size of the total moment: 0.00 μB per formula unit

***

3.
# AgAs (PBE, relaxed)
data_AgAs
_symmetry_space_group_name_H-M 'P 63/m'
_symmetry_Int_Tables_number 176
_symmetry_space_group_name_Hall '-P 6c'
_cell_length_a 8.7136
_cell_length_b 8.7136
_cell_length_c 3.8740
_cell_angle_alpha 90.00
_cell_angle_beta 90.00
_cell_angle_gamma 120.00
loop_
_atom_site_label
_atom_site_fract_x
_atom_site_fract_y
_atom_site_fract_z
Ag1 0.1235 0.6072 0.2500
As1 0.0470 0.2604 0.2500
# - Raw total energy: -3.50 eV per atom
# - DFT formation energy: 0.249 eV/atom
# - Size of the total moment: 0.00 μB per formula unit

***

4.
# Ag7As (PBE, relaxed)
data_Ag7As
_symmetry_space_group_name_H-M 'F m -3 m'
_symmetry_Int_Tables_number 225
_symmetry_space_group_name_Hall '-F 4 2 3'
_cell_length_a 8.343
_cell_length_b 8.343
_cell_length_c 8.343
_cell_angle_alpha 90.00
_cell_angle_beta 90.00
_cell_angle_gamma 90.00
loop_
_atom_site_label
_atom_site_fract_x
_atom_site_fract_y
_atom_site_fract_z
Ag1 0.000 0.000 0.000
Ag2 0.000 0.250 0.250
As1 0.000 0.000 0.500
# - Raw total energy: -2.99 eV per atom
# - DFT formation energy: 0.082 eV/atom
# - Size of the total moment: 0.00 μB per formula unit

***

5.
# Ag3As2 (PBE, relaxed)
data_Ag3As2
_symmetry_space_group_name_H-M 'P -3 m 1'
_symmetry_Int_Tables_number 164
_symmetry_space_group_name_Hall '-P 3 2"'
_cell_length_a 4.5673
_cell_length_b 4.5673
_cell_length_c 5.6390
_cell_angle_alpha 90.00
_cell_angle_beta 90.00
_cell_angle_gamma 120.00
loop_
_atom_site_label
_atom_site_fract_x
_atom_site_fract_y
_atom_site_fract_z
Ag1 0.0000 0.0000 0.0000
Ag2 0.3333 0.6667 0.3296
As1 0.3333 0.6667 0.7998
# - Raw total energy: -3.35 eV per atom
# - DFT formation energy: 0.225 eV/atom
# - Size of the total moment: 0.00 μB per formula unit

***

6.
# AgAs5 (PBE, relaxed)
data_AgAs5
_symmetry_space_group_name_H-M 'C 1 m 1'
_symmetry_Int_Tables_number 8
_cell_length_a 12.512
_cell_length_b 3.592
_cell_length_c 8.602
_cell_angle_alpha 90.00
_cell_angle_beta 132.17
_cell_angle_gamma 90.00
loop_
_symmetry_equiv_pos_as_xyz
'x,y,z'
'x,-y,z'
'x+1/2,y+1/2,z'
'x+1/2,-y+1/2,z'
loop_
_atom_site_label
_atom_site_fract_x
_atom_site_fract_y
_atom_site_fract_z
Ag1 0.000 0.000 0.000
As1 0.183 0.500 0.329
As2 0.209 0.500 0.746
As3 0.232 0.000 0.045
As4 0.304 0.000 0.655
As5 0.376 0.500 0.318
# - Raw total energy: -4.16 eV per atom
# - DFT formation energy: 0.190 eV/atom
# - Size of the total moment: 0.00 μB per formula unit

***

7.
# Ag5As4 (PBE, relaxed)
data_Ag5As4
_symmetry_space_group_name_H-M 'I 4/m m m'
_symmetry_Int_Tables_number 139
_symmetry_space_group_name_Hall '-I 4 2'
_cell_length_a 9.035
_cell_length_b 9.035
_cell_length_c 4.153
_cell_angle_alpha 90.00
_cell_angle_beta 90.00
_cell_angle_gamma 90.00
loop_
_atom_site_label
_atom_site_fract_x
_atom_site_fract_y
_atom_site_fract_z
Ag1 0.000 0.000 0.000
Ag2 0.167 0.167 0.500
As1 0.000 0.309 0.000
# - Raw total energy: -3.45 eV per atom
# - DFT formation energy: 0.196 eV/atom
# - Size of the total moment: 0.00 μB per formula unit

***

8.
# AgAs (PBE, relaxed)
data_AgAs
_symmetry_space_group_name_H-M 'P 63/m m c'
_symmetry_Int_Tables_number 194
_symmetry_space_group_name_Hall '-P 6c 2c'
_cell_length_a 4.1059
_cell_length_b 4.1059
_cell_length_c 5.6254
_cell_angle_alpha 90.00
_cell_angle_beta 90.00
_cell_angle_gamma 120.00
loop_
_atom_site_label
_atom_site_fract_x
_atom_site_fract_y
_atom_site_fract_z
Ag1 0.0000 0.0000 0.0000
As1 0.3333 0.6667 0.2500
# - Raw total energy: -3.50 eV per atom
# - DFT formation energy: 0.248 eV/atom
# - Size of the total moment: 0.00 μB per formula unit

***

9.
# AgAs7 (PBE, relaxed)
data_AgAs7
_symmetry_space_group_name_H-M 'F m -3 m'
_symmetry_Int_Tables_number 225
_symmetry_space_group_name_Hall '-F 4 2 3'
_cell_length_a 8.544
_cell_length_b 8.544
_cell_length_c 8.544
_cell_angle_alpha 90.00
_cell_angle_beta 90.00
_cell_angle_gamma 90.00
loop_
_atom_site_label
_atom_site_fract_x
_atom_site_fract_y
_atom_site_fract_z
Ag1 0.000 0.000 0.000
As1 0.000 0.000 0.500
As2 0.000 0.250 0.250
# - Raw total energy: -3.93 eV per atom
# - DFT formation energy: 0.499 eV/atom
# - Size of the total moment: 0.00 μB per formula unit

***

10.
# Ag5As (PBE, relaxed)
data_Ag5As
_symmetry_space_group_name_H-M 'F -4 3 m'
_symmetry_Int_Tables_number 216
_symmetry_space_group_name_Hall 'F -4 2 3'
_cell_length_a 7.758
_cell_length_b 7.758
_cell_length_c 7.758
_cell_angle_alpha 90.00
_cell_angle_beta 90.00
_cell_angle_gamma 90.00
loop_
_atom_site_label
_atom_site_fract_x
_atom_site_fract_y
_atom_site_fract_z
Ag1 0.000 0.000 0.000
Ag2 0.125 0.125 0.625
As1 0.250 0.250 0.250
# - Raw total energy: -2.91 eV per atom
# - DFT formation energy: 0.244 eV/atom
# - Size of the total moment: 0.00 μB per formula unit

***

11.
# AgAs (PBE, relaxed)
data_AgAs
_symmetry_space_group_name_H-M 'P 21 3'
_symmetry_Int_Tables_number 198
_symmetry_space_group_name_Hall 'P 2ac 2ab 3'
_cell_length_a 5.367
_cell_length_b 5.367
_cell_length_c 5.367
_cell_angle_alpha 90.00
_cell_angle_beta 90.00
_cell_angle_gamma 90.00
loop_
_atom_site_label
_atom_site_fract_x
_atom_site_fract_y
_atom_site_fract_z
Ag1 0.090 0.410 0.590
As1 0.103 0.897 0.397
# - Raw total energy: -3.46 eV per atom
# - DFT formation energy: 0.291 eV/atom
# - Size of the total moment: 0.00 μB per formula unit

***

12.
# AgAs (PBE, relaxed)
data_AgAs
_symmetry_space_group_name_H-M 'P 1 21/m 1'
_symmetry_Int_Tables_number 11
_cell_length_a 2.823
_cell_length_b 4.936
_cell_length_c 5.702
_cell_angle_alpha 90.00
_cell_angle_beta 103.48
_cell_angle_gamma 90.00
loop_
_symmetry_equiv_pos_as_xyz
'x,y,z'
'-x,-y,-z'
'-x,y+1/2,-z'
'x,-y+1/2,z'
loop_
_atom_site_label
_atom_site_fract_x
_atom_site_fract_y
_atom_site_fract_z
Ag1 0.200 0.250 0.402
As1 0.060 0.750 0.128
# - Raw total energy: -3.55 eV per atom
# - DFT formation energy: 0.196 eV/atom
# - Size of the total moment: 0.00 μB per formula unit

***

13.
# AgAs3 (PBE, relaxed)
data_AgAs3
_symmetry_space_group_name_H-M 'R -3 m'
_symmetry_Int_Tables_number 166
_symmetry_space_group_name_Hall '-R 3 2"'
_cell_length_a 9.2156
_cell_length_b 9.2156
_cell_length_c 3.1290
_cell_angle_alpha 90.00
_cell_angle_beta 90.00
_cell_angle_gamma 120.00
loop_
_atom_site_label
_atom_site_fract_x
_atom_site_fract_y
_atom_site_fract_z
Ag1 0.0000 0.0000 0.0000
As1 0.0000 0.5000 0.0000
# - Raw total energy: -3.81 eV per atom
# - DFT formation energy: 0.393 eV/atom
# - Size of the total moment: 0.00 μB per formula unit